Material: LiMnCrO4
Method: DFT, GGA-PBEsol
State: relaxed

a = 5.709 Å, b = 5.811 Å, c = 8.167 Å
α = 90.00°, β = 90.00°, γ = 90.00°
Space group Imma (No. 74)
Symmetry-distinct sites (fractional):
Li (0.000, 0.250, 0.122) (multiplicity 4)
Mn (0.250, 0.250, 0.750) (multiplicity 4)
Cr (0.000, 0.000, 0.500) (multiplicity 4)
O (0.000, 0.029, 0.740) (multiplicity 8)
O (0.228, 0.250, 0.518) (multiplicity 8)

## Properties
DOS(E_F) in states/eV/atom: 0.532
E in eV per atom: -8.079
Volume in Å³/cell: 271
Formation energy from raw total energies in eV/atom: -1.941

Material: Li24Mn11CrO36
Method: DFT, GGA-PBEsol
State: relaxed

a = 14.702 Å, b = 8.475 Å, c = 9.523 Å
α = 90.00°, β = 99.59°, γ = 90.00°
Space group C2 (No. 5)
Symmetry-distinct sites (fractional):
Li (0.000, 0.000, 0.000) (multiplicity 2)
Li (0.000, 0.500, 0.500) (multiplicity 2)
Li (0.083, 0.000, 0.750) (multiplicity 4)
Li (0.083, 0.161, 0.250) (multiplicity 4)
Li (0.083, 0.339, 0.750) (multiplicity 4)
Li (0.083, 0.839, 0.249) (multiplicity 4)
Li (0.084, 0.500, 0.250) (multiplicity 4)
Li (0.084, 0.660, 0.751) (multiplicity 4)
Li (0.166, 0.999, 0.500) (multiplicity 4)
Li (0.167, 0.500, 0.000) (multiplicity 4)
Li (0.250, 0.161, 0.750) (multiplicity 4)
Li (0.250, 0.338, 0.251) (multiplicity 4)
Li (0.250, 0.499, 0.750) (multiplicity 4)
Mn (0.000, 0.168, 0.500) (multiplicity 2)
Mn (0.000, 0.333, 0.000) (multiplicity 2)
Mn (0.000, 0.667, 0.000) (multiplicity 2)
Mn (0.167, 0.167, 0.000) (multiplicity 4)
Mn (0.167, 0.333, 0.500) (multiplicity 4)
Mn (0.167, 0.666, 0.500) (multiplicity 4)
Mn (0.167, 0.833, 0.000) (multiplicity 4)
Cr (0.000, 0.832, 0.500) (multiplicity 2)
O (0.035, 0.001, 0.386) (multiplicity 4)
O (0.035, 0.500, 0.886) (multiplicity 4)
O (0.047, 0.178, 0.888) (multiplicity 4)
O (0.047, 0.322, 0.388) (multiplicity 4)
O (0.047, 0.821, 0.888) (multiplicity 4)
O (0.048, 0.678, 0.387) (multiplicity 4)
O (0.119, 0.178, 0.612) (multiplicity 4)
O (0.119, 0.321, 0.112) (multiplicity 4)
O (0.119, 0.678, 0.112) (multiplicity 4)
O (0.120, 0.820, 0.613) (multiplicity 4)
O (0.131, 0.000, 0.114) (multiplicity 4)
O (0.131, 0.500, 0.614) (multiplicity 4)
O (0.202, 0.000, 0.886) (multiplicity 4)
O (0.203, 0.499, 0.386) (multiplicity 4)
O (0.213, 0.177, 0.388) (multiplicity 4)
O (0.214, 0.321, 0.888) (multiplicity 4)
O (0.214, 0.678, 0.888) (multiplicity 4)
O (0.214, 0.821, 0.388) (multiplicity 4)

## Properties
DOS(E_F) in states/eV/atom: 0.154
E in eV per atom: -6.920
Volume in Å³/cell: 1170
Formation energy from raw total energies in eV/atom: -2.006

Which of these has the lowest DOS(E_F)? Li24Mn11CrO36

Among the records above, which one has the highest E? Li24Mn11CrO36

Among the records above, which one has the highest formation energy from raw total energies? LiMnCrO4